DFT (PBE) results for NaTiTl after structural relaxation.

The distance to the lowest polymorph of the same formula comes out at 0.535 eV/atom. For the spin magnetization, the calculation gives 1.50 μB per formula unit.

The structure belongs to space group Cmcm (No. 63); the cell edges are 4.985, 8.526 and 6.194 Å and the angles 90.00°, 90.00° and 90.00°. The distinct sites, in fractional coordinates, are Na at (0.000, 0.166, 0.250), Ti at (0.000, 0.170, 0.750) and Tl at (0.000, 0.500, 0.000).